KPb2Au4: relaxed, PBE-GGA.

The structure in POSCAR format:
```
KPb2Au4
1.0
-4.6448 4.6448 4.3050
4.6448 -4.6448 4.3050
4.6448 4.6448 -4.3050
K Pb Au
2 4 8
Direct
0.2500 0.2500 0.0000 K
0.7500 0.7500 0.0000 K
0.1381 0.6381 0.7762 Pb
0.3619 0.1381 0.5000 Pb
0.6381 0.8619 0.5000 Pb
0.8619 0.3619 0.2238 Pb
0.0088 0.8196 0.5000 Au
0.1804 0.6804 0.1892 Au
0.3196 0.5088 0.5000 Au
0.4912 0.9912 0.8108 Au
0.5088 0.0088 0.1892 Au
0.6804 0.4912 0.5000 Au
0.8196 0.3196 0.8108 Au
0.9912 0.1804 0.5000 Au
```

Calculated values
For the energy of formation from the pure elements, the calculation gives -0.155 eV per atom. Its volume is 185.8 Å³/f.u. The total energy comes out at -3.2440 eV per atom. The value obtained for the density of states at the Fermi level is 0.35 states/eV per atom.